Entry 1:
{
  "formula": "CsMgAl2Ir",
  "functional": "PBE",
  "state": "optimized geometry",
  "cell": [[4.9019, 0.0000, 0.0000], [0.0000, 4.9019, 0.0000], [0.0000, 0.0000, 5.3000]],
  "species": ["Cs", "Mg", "Al", "Al", "Ir"],
  "frac_coords": [[0.0000, 0.0000, 0.0000], [0.5000, 0.5000, 0.0000], [0.0000, 0.5000, 0.5000], [0.5000, 0.0000, 0.5000], [0.5000, 0.5000, 0.5000]],
  "delta_e_f_mev_per_atom": -235
}

---

Entry 2:
{
  "formula": "Th2ZnSnN5",
  "functional": "PBE",
  "state": "optimized geometry",
  "cell": [[1.7297, -7.0554, 0.0000], [1.7297, 7.0554, 0.0000], [0.0000, 0.0000, 10.0703]],
  "species": ["Th", "Th", "Th", "Th", "Zn", "Zn", "Sn", "Sn", "N", "N", "N", "N", "N", "N", "N", "N", "N", "N"],
  "frac_coords": [[0.1160, 0.8840, 0.5000], [0.1285, 0.8715, 0.1018], [0.8715, 0.1285, 0.6018], [0.8840, 0.1160, 0.0000], [0.4824, 0.5176, 0.2820], [0.5176, 0.4824, 0.7820], [0.2065, 0.7935, 0.8085], [0.7935, 0.2065, 0.3085], [0.0547, 0.9453, 0.8592], [0.2896, 0.7104, 0.4671], [0.3024, 0.6976, 0.1604], [0.3614, 0.6386, 0.8122], [0.4988, 0.5012, 0.5820], [0.5012, 0.4988, 0.0820], [0.6386, 0.3614, 0.3122], [0.6976, 0.3024, 0.6604], [0.7104, 0.2896, 0.9671], [0.9453, 0.0547, 0.3592]],
  "formation_energy_uncorrected_ev_per_fu": -5.3
}

---

Entry 3:
{
  "formula": "Li2ScSb",
  "functional": "PBE",
  "state": "optimized geometry",
  "cell": [[3.2955, 0.0000, 0.0000], [-1.6478, 2.8540, 0.0000], [0.0000, 0.0000, 29.2976]],
  "species": ["Li", "Li", "Li", "Li", "Li", "Li", "Sc", "Sc", "Sc", "Sb", "Sb", "Sb"],
  "frac_coords": [[0.0000, 0.0000, 0.2408], [0.0000, 0.0000, 0.7592], [0.3333, 0.6667, 0.4258], [0.3333, 0.6667, 0.9075], [0.6667, 0.3333, 0.0925], [0.6667, 0.3333, 0.5742], [0.0000, 0.0000, 0.0000], [0.3333, 0.6667, 0.6667], [0.6667, 0.3333, 0.3333], [0.0000, 0.0000, 0.5000], [0.3333, 0.6667, 0.1667], [0.6667, 0.3333, 0.8333]],
  "formation_energy_uncorrected_ev_per_fu": -0.1
}

---

Entry 4:
{
  "formula": "KZr2Au",
  "functional": "PBE",
  "state": "optimized geometry",
  "cell": [[3.0856, 0.0000, 0.0000], [0.0000, 5.5053, 0.0000], [-0.3794, 0.0000, 5.8082]],
  "species": ["K", "Zr", "Zr", "Au"],
  "frac_coords": [[0.0000, 0.0000, 0.0000], [0.2659, 0.5000, 0.7089], [0.7341, 0.5000, 0.2911], [0.5000, 0.0000, 0.5000]],
  "polymorph_energy_ev_per_fu": 1.69,
  "delta_e_f_mev_per_atom": 382
}

---

Entry 5:
{
  "formula": "MgAgRu2",
  "functional": "PBE",
  "state": "optimized geometry",
  "cell": [[3.7603, 0.0000, 0.0000], [0.0000, 3.7603, 0.0000], [0.0000, 0.0000, 4.3994]],
  "species": ["Mg", "Ag", "Ru", "Ru"],
  "frac_coords": [[0.0000, 0.0000, 0.0000], [0.5000, 0.5000, 0.0000], [0.0000, 0.5000, 0.5000], [0.5000, 0.0000, 0.5000]],
  "delta_e_f_mev_per_atom": 331
}